The following is a GGA-PBE calculation of a relaxed structure of Dy4Zr, from Alexandria.

Unit cell a=5.5252 b=5.5252 c=5.5252 alpha=90.00 beta=90.00 gamma=90.00
Atoms (fractional coordinates):
Dy1 0.0000 0.0000 0.0000
Dy2 0.0000 0.5000 0.5000
Dy3 0.5000 0.0000 0.5000
Dy4 0.5000 0.5000 0.0000
Zr1 0.5000 0.5000 0.5000

Properties
ΔH_f (0 K): 0.56 eV/atom
E: -24.17 eV/cell



The following is a GGA-PBE calculation of a relaxed structure of La12PmHg6, from Alexandria.

Unit cell a=8.4091 b=8.4091 c=8.4091 alpha=88.84 beta=88.84 gamma=88.84
Atoms (fractional coordinates):
La1 0.0357 0.3173 0.9258
La2 0.0742 0.9643 0.6827
La3 0.1032 0.3485 0.4364
La4 0.3173 0.9258 0.0357
La5 0.3485 0.4364 0.1032
La6 0.4364 0.1032 0.3485
La7 0.5636 0.8968 0.6515
La8 0.6515 0.5636 0.8968
La9 0.6827 0.0742 0.9643
La10 0.8968 0.6515 0.5636
La11 0.9258 0.0357 0.3173
La12 0.9643 0.6827 0.0742
Pm1 0.5000 0.5000 0.5000
Hg1 0.2316 0.7468 0.3780
Hg2 0.2532 0.6220 0.7684
Hg3 0.3780 0.2316 0.7468
Hg4 0.6220 0.7684 0.2532
Hg5 0.7468 0.3780 0.2316
Hg6 0.7684 0.2532 0.6220

Properties
ΔH_f (0 K): -0.23 eV/atom
E: -70.15 eV/cell



The following is a GGA-PBE calculation of a relaxed structure of RbTbCuF6, from Alexandria.

Unit cell a=7.3751 b=7.3751 c=7.3751 alpha=119.51 beta=117.64 gamma=92.49
Atoms (fractional coordinates):
Rb1 0.4112 0.1612 0.2500
Rb2 0.5888 0.8388 0.7500
Tb1 0.0000 0.0000 0.5000
Tb2 0.0000 0.5000 0.0000
Cu1 0.0000 0.5000 0.5000
Cu2 0.5000 0.5000 0.0000
F1 0.1250 0.8750 0.2500
F2 0.1330 0.3830 0.7500
F3 0.1450 0.4396 0.3202
F4 0.1450 0.8248 0.7053
F5 0.3806 0.1752 0.8202
F6 0.3806 0.5604 0.2053
F7 0.6194 0.4396 0.7947
F8 0.6194 0.8248 0.1798
F9 0.8550 0.1752 0.2947
F10 0.8550 0.5604 0.6798
F11 0.8670 0.6170 0.2500
F12 0.8750 0.1250 0.7500

Properties
E: -94.79 eV/cell
formation energy from raw total energies: -2.9412 eV/atom



The following is a GGA-PBE calculation of a relaxed structure of AlCr, from Alexandria.

Unit cell a=2.8083 b=2.8083 c=24.8877 alpha=90.00 beta=90.00 gamma=120.00
Atoms (fractional coordinates):
Al1 0.0000 0.0000 0.1198
Al2 0.0000 0.0000 0.8802
Al3 0.3333 0.6667 0.5469
Al4 0.3333 0.6667 0.7865
Al5 0.6667 0.3333 0.2135
Al6 0.6667 0.3333 0.4531
Cr1 0.0000 0.0000 0.3649
Cr2 0.0000 0.0000 0.6351
Cr3 0.3333 0.6667 0.0315
Cr4 0.3333 0.6667 0.3018
Cr5 0.6667 0.3333 0.6982
Cr6 0.6667 0.3333 0.9685

Properties
ΔH_f (0 K): 0.09 eV/atom
E: -79.11 eV/cell



The following is a GGA-PBE calculation of a relaxed structure of HfUGe, from Alexandria.

Unit cell a=3.5546 b=3.5546 c=10.1299 alpha=90.00 beta=90.00 gamma=90.00
Atoms (fractional coordinates):
Hf1 0.0000 0.0000 0.0000
Hf2 0.5000 0.5000 0.5000
U1 0.0000 0.0000 0.7057
U2 0.5000 0.5000 0.2057
Ge1 0.0000 0.0000 0.3818
Ge2 0.5000 0.5000 0.8818

Properties
ΔH_f (0 K): -0.01 eV/atom
E: -51.77 eV/cell



The following is a GGA-PBE calculation of a relaxed structure of CaVGe2, from Alexandria.

Unit cell a=4.9894 b=4.9894 c=16.4588 alpha=90.00 beta=90.00 gamma=90.00
Atoms (fractional coordinates):
Ca1 0.0000 0.0000 0.0000
Ca2 0.0000 0.5000 0.2500
Ca3 0.5000 0.0000 0.7500
Ca4 0.5000 0.5000 0.5000
V1 0.0000 0.0000 0.5000
V2 0.0000 0.5000 0.7500
V3 0.5000 0.0000 0.2500
V4 0.5000 0.5000 0.0000
Ge1 0.0948 0.2500 0.6250
Ge2 0.2500 0.5948 0.8750
Ge3 0.2500 0.9052 0.3750
Ge4 0.4052 0.2500 0.1250
Ge5 0.5948 0.7500 0.1250
Ge6 0.7500 0.0948 0.3750
Ge7 0.7500 0.4052 0.8750
Ge8 0.9052 0.7500 0.6250

Properties
ΔH_f (0 K): 0.05 eV/atom
E: -80.59 eV/cell



The following is a GGA-PBE calculation of a relaxed structure of TaWC2, from Alexandria.

Unit cell a=2.9854 b=3.1637 c=4.8268 alpha=90.00 beta=90.00 gamma=90.00
Atoms (fractional coordinates):
Ta1 0.0000 0.0000 0.0000
W1 0.0000 0.5000 0.5000
C1 0.5000 0.5000 0.1609
C2 0.5000 0.5000 0.8391

Properties
energy relative to the lowest polymorph listed for this composition: 159.6 kJ/mol of formula units
ΔH_f (0 K): 0.26 eV/atom
E: -42.23 eV/cell



The following is a GGA-PBE calculation of a relaxed structure of Sm3Mg2TiS8, from Alexandria.

Unit cell a=7.8085 b=7.8085 c=7.8085 alpha=61.03 beta=61.03 gamma=61.03
Atoms (fractional coordinates):
Sm1 0.0000 0.5000 0.5000
Sm2 0.5000 0.0000 0.5000
Sm3 0.5000 0.5000 0.0000
Mg1 0.1249 0.1249 0.1249
Mg2 0.8751 0.8751 0.8751
Ti1 0.5000 0.5000 0.5000
S1 0.2531 0.2531 0.2531
S2 0.2660 0.7314 0.7314
S3 0.2686 0.2686 0.7340
S4 0.2686 0.7340 0.2686
S5 0.7314 0.2660 0.7314
S6 0.7314 0.7314 0.2660
S7 0.7340 0.2686 0.2686
S8 0.7469 0.7469 0.7469

Properties
E: -81.68 eV/cell
formation energy from raw total energies: -1.6729 eV/atom



The following is a GGA-PBE calculation of a relaxed structure of LiRu2W, from Alexandria.

Unit cell a=2.7154 b=4.0284 c=5.1223 alpha=90.00 beta=90.00 gamma=90.00
Atoms (fractional coordinates):
Li1 0.0000 0.0000 0.0000
Ru1 0.0000 0.0000 0.4913
Ru2 0.5000 0.5000 0.2139
W1 0.5000 0.5000 0.7383

Properties
energy relative to the lowest polymorph listed for this composition: 100.1 kJ/mol of formula units
ΔH_f (0 K): 0.20 eV/atom
E: -32.60 eV/cell



The following is a GGA-PBE calculation of a relaxed structure of MnGaMo2C, from Alexandria.

Unit cell a=4.1876 b=4.1876 c=3.8239 alpha=90.00 beta=90.00 gamma=90.00
Atoms (fractional coordinates):
Mn1 0.0000 0.0000 0.0000
Ga1 0.5000 0.5000 0.0000
Mo1 0.0000 0.5000 0.5000
Mo2 0.5000 0.0000 0.5000
C1 0.0000 0.0000 0.5000

Properties
ΔH_f (0 K): 0.03 eV/atom
E: -42.95 eV/cell